The following is a PBE calculation of YAlHgH2 after structural relaxation, from Alexandria.

Properties
* VASP energy: -3.219 eV/atom
* SG: P4/mmm, No. 123
* N(E_F): 2.4 states/eV/cell

```
YAlHgH2
1.0
-1.5999 -2.1107 -3.1460
4.3562 0.7600 -2.7252
1.5677 -3.4777 1.5361
Hg H Y Al
1 2 1 1
Direct
0.0000 0.5000 0.0000
0.5000 0.0000 0.0000
0.0000 0.0000 0.5000
0.5000 0.5000 0.5000
0.0000 0.0000 0.0000
```



The following is a PBE calculation of Ca2TiGe3Pt4 after structural relaxation, from Alexandria.

Properties
* VASP energy: -5.834 eV/atom
* SG: P-4m2, No. 115
* N(E_F): 6.9 states/eV/cell

```
Ca2TiGe3Pt4
1.0
-1.0775 3.4580 1.9651
1.6880 -1.4459 3.4700
9.7564 4.6387 -2.8132
Ti Pt Ge Ca
1 4 3 2
Direct
0.5000 0.5000 0.5000
0.5000 0.0000 0.6412
0.0000 0.5000 0.3588
0.5000 0.5000 0.0000
0.0000 0.0000 0.0000
0.5000 0.0000 0.8628
0.0000 0.5000 0.1372
0.0000 0.0000 0.5000
0.0000 0.5000 0.7583
0.5000 0.0000 0.2417
```



The following is a PBE calculation of Sm3Dy8Y3 after structural relaxation, from Alexandria.

Properties
* VASP energy: -4.915 eV/atom
* SG: Immm, No. 71
* N(E_F): 22.2 states/eV/cell

```
Sm3Dy8Y3
1.0
5.5355 0.0006 1.1134
2.7132 9.2338 0.8223
1.0531 -3.1144 9.0826
Dy Sm Y
8 3 3
Direct
0.8422 0.5547 0.7611
0.1578 0.4453 0.2389
0.3408 0.4371 0.8818
0.3408 0.8818 0.4371
0.6592 0.1182 0.5629
0.6592 0.5629 0.1182
0.8422 0.7611 0.5547
0.1578 0.2389 0.4453
0.0000 0.8169 0.1831
0.0000 0.1831 0.8169
0.5000 0.0000 0.0000
0.2017 0.7982 0.7982
0.5000 0.5000 0.5000
0.7983 0.2018 0.2018
```



The following is a PBE calculation of Ce2Si4Pd3Pt after structural relaxation, from Alexandria.

Properties
* VASP energy: -6.437 eV/atom
* SG: P-4m2, No. 115
* N(E_F): 9.6 states/eV/cell
* uncorrected formation energy: -0.92 eV/atom

```
Ce2Si4Pd3Pt
1.0
4.2443 0.0000 0.0000
0.0000 4.2443 0.0000
0.0000 0.0000 9.8795
Si Ce Pd Pt
4 2 3 1
Direct
0.5000 0.0000 0.6322
0.0000 0.5000 0.3678
0.0000 0.0000 0.0000
0.5000 0.5000 0.0000
0.5000 0.0000 0.2466
0.0000 0.5000 0.7534
0.0000 0.5000 0.1224
0.5000 0.0000 0.8776
0.0000 0.0000 0.5000
0.5000 0.5000 0.5000
```



The following is a PBE calculation of ZnRe2W after structural relaxation, from Alexandria.

Properties
* VASP energy: -9.567 eV/atom
* SG: Cm, No. 8
* N(E_F): 3.9 states/eV/cell

```
ZnRe2W
1.0
5.1572 -0.0041 0.0279
4.2030 2.9885 0.0279
1.8016 0.5744 3.9100
Re W Zn
2 1 1
Direct
0.2508 0.2508 0.2496
0.9949 0.9949 0.0046
0.5064 0.5064 0.4932
0.7480 0.7480 0.7526
```



The following is a PBE calculation of RbYHf after structural relaxation, from Alexandria.

Properties
* distance to the lowest polymorph of the same formula: 0 meV/atom
* VASP energy: -5.549 eV/atom
* SG: P-1, No. 2
* N(E_F): 0.4 states/eV/cell

```
RbYHf
1.0
-2.9610 -2.2207 1.1054
8.4466 -13.1959 -3.9397
1.4305 -0.1263 3.5779
Hf Y Rb
2 2 2
Direct
0.0088 0.4243 0.1814
0.5091 0.5043 0.6834
0.5082 0.3086 0.6787
0.0095 0.6200 0.1863
0.5102 0.8309 0.6931
0.0071 0.0978 0.1739
```



N(E_F) of number 3 (Sm3Dy8Y3)? 22.2 states/eV/cell



N(E_F) of number 1 (YAlHgH2)? 2.4 states/eV/cell